Crystalline ErVSn2 at its relaxed geometry. Source: Alexandria, functional PBE.

Structure (CIF):
```
data_ErVSn2
_chemical_formula_sum 'Er3 V3 Sn6'
_cell_length_a 3.2543
_cell_length_b 3.2543
_cell_length_c 31.8405
_cell_angle_alpha 90.00
_cell_angle_beta 90.00
_cell_angle_gamma 120.00
_space_group_name_H-M_alt 'R -3 m'
_space_group_IT_number 166
_space_group_name_Hall '-R 3 2"'
loop_
_atom_site_label
_atom_site_type_symbol
_atom_site_fract_x
_atom_site_fract_y
_atom_site_fract_z
Er1 Er 0.0000 0.0000 0.0000
V1 V 0.0000 0.0000 0.5000
Sn1 Sn 0.0000 0.0000 0.0987
```

Output
Magnetic moment (μB per cell): 1.6
Total energy (eV per atom): -5.16